No. 1
! Tb2CdNi2 PBE optimized geometry; values from VASP
! Total energy ... -4.7775 eV per atom
! E_form ... -2.1 eV per formula unit
&SYSTEM
  ibrav = 0, nat = 10, ntyp = 3
/
ATOMIC_SPECIES
Tb 158.93 Tb.upf
Cd 112.41 Cd.upf
Ni 58.69 Ni.upf
ATOMIC_POSITIONS crystal
Tb 0.177 0.323 0.000
Tb 0.323 0.823 0.000
Tb 0.677 0.177 0.000
Tb 0.823 0.677 0.000
Cd 0.000 0.000 0.500
Cd 0.500 0.500 0.500
Ni 0.117 0.617 0.500
Ni 0.383 0.117 0.500
Ni 0.617 0.883 0.500
Ni 0.883 0.383 0.500
CELL_PARAMETERS angstrom
7.338 0.000 0.000
0.000 7.338 0.000
0.000 0.000 3.754

=====

No. 2
! Tb2CdNi PBE optimized geometry; values from VASP
! ΔE to the lowest computed polymorph ... 0.0 meV per atom
! Total energy ... -4.3458 eV per atom
! E_form ... -1.4 eV per formula unit
&SYSTEM
  ibrav = 0, nat = 4, ntyp = 3
/
ATOMIC_SPECIES
Tb 158.93 Tb.upf
Cd 112.41 Cd.upf
Ni 58.69 Ni.upf
ATOMIC_POSITIONS crystal
Tb 0.000 0.000 0.212
Tb 0.000 0.000 0.788
Cd 0.500 0.500 0.500
Ni 0.500 0.500 0.000
CELL_PARAMETERS angstrom
3.466 0.000 0.000
0.000 3.466 0.000
0.000 0.000 7.657

=====

No. 3
! TbTlCdNi PBE optimized geometry; values from VASP
! Total energy ... -3.5246 eV per atom
! E_form ... -0.4 eV per formula unit
&SYSTEM
  ibrav = 0, nat = 4, ntyp = 4
/
ATOMIC_SPECIES
Tb 158.93 Tb.upf
Tl 204.38 Tl.upf
Cd 112.41 Cd.upf
Ni 58.69 Ni.upf
ATOMIC_POSITIONS crystal
Tb 0.000 0.000 0.000
Tl 0.750 0.750 0.750
Cd 0.500 0.500 0.500
Ni 0.250 0.250 0.250
CELL_PARAMETERS angstrom
0.000 3.491 3.491
3.491 0.000 3.491
3.491 3.491 0.000

=====

No. 4
! TbTmCdNi PBE optimized geometry; values from VASP
! ΔE to the lowest computed polymorph ... 108.6 meV per atom
! Total energy ... -4.2198 eV per atom
! E_form ... -1.1 eV per formula unit
&SYSTEM
  ibrav = 0, nat = 4, ntyp = 4
/
ATOMIC_SPECIES
Tb 158.93 Tb.upf
Tm 168.93 Tm.upf
Cd 112.41 Cd.upf
Ni 58.69 Ni.upf
ATOMIC_POSITIONS crystal
Tb 0.000 0.000 0.000
Tm 0.500 0.500 0.500
Cd 0.250 0.250 0.250
Ni 0.750 0.750 0.750
CELL_PARAMETERS angstrom
0.000 3.556 3.556
3.556 0.000 3.556
3.556 3.556 0.000

=====

No. 5
! TbTmCdNi PBE optimized geometry; values from VASP
! ΔE to the lowest computed polymorph ... 0.0 meV per atom
! Total energy ... -4.3284 eV per atom
! E_form ... -1.5 eV per formula unit
&SYSTEM
  ibrav = 0, nat = 4, ntyp = 4
/
ATOMIC_SPECIES
Tb 158.93 Tb.upf
Tm 168.93 Tm.upf
Cd 112.41 Cd.upf
Ni 58.69 Ni.upf
ATOMIC_POSITIONS crystal
Tb 0.000 0.000 0.000
Tm 0.000 0.000 0.577
Cd 0.500 0.500 0.295
Ni 0.500 0.500 0.779
CELL_PARAMETERS angstrom
3.432 0.000 0.000
0.000 3.432 0.000
0.000 0.000 7.602

=====

No. 6
! TbZnCdNi PBE optimized geometry; values from VASP
! Total energy ... -3.3835 eV per atom
! E_form ... -0.9 eV per formula unit
&SYSTEM
  ibrav = 0, nat = 4, ntyp = 4
/
ATOMIC_SPECIES
Tb 158.93 Tb.upf
Zn 65.41 Zn.upf
Cd 112.41 Cd.upf
Ni 58.69 Ni.upf
ATOMIC_POSITIONS crystal
Tb 0.000 0.000 0.000
Zn 0.750 0.750 0.750
Cd 0.500 0.500 0.500
Ni 0.250 0.250 0.250
CELL_PARAMETERS angstrom
0.000 3.342 3.342
3.342 0.000 3.342
3.342 3.342 0.000

=====

No. 7
! CdTc2Ni PBE optimized geometry; values from VASP
! Total energy ... -6.4332 eV per atom
! E_form ... 1.7 eV per formula unit
&SYSTEM
  ibrav = 0, nat = 4, ntyp = 3
/
ATOMIC_SPECIES
Cd 112.41 Cd.upf
Tc 98.00 Tc.upf
Ni 58.69 Ni.upf
ATOMIC_POSITIONS crystal
Cd 0.000 0.000 0.000
Tc 0.000 0.500 0.500
Tc 0.500 0.000 0.500
Ni 0.500 0.500 0.000
CELL_PARAMETERS angstrom
2.552 -4.382 0.000
2.552 4.382 0.000
-0.011 0.000 2.679

=====

No. 8
! CdTc2Ni PBE optimized geometry; values from VASP
! Total energy ... -6.6071 eV per atom
! E_form ... 1.0 eV per formula unit
&SYSTEM
  ibrav = 0, nat = 4, ntyp = 3
/
ATOMIC_SPECIES
Cd 112.41 Cd.upf
Tc 98.00 Tc.upf
Ni 58.69 Ni.upf
ATOMIC_POSITIONS crystal
Cd 0.000 0.000 0.000
Tc 0.000 0.000 0.492
Tc 0.500 0.500 0.693
Ni 0.500 0.500 0.249
CELL_PARAMETERS angstrom
2.767 0.000 0.000
0.000 3.815 0.000
0.000 0.000 5.748